The following is a PBE calculation of a relaxed structure of Sm3Os, from Alexandria via LeMat-Bulk.

POSCAR file:
```
Sm3Os
1.0
6.473 0.000 0.000
0.000 7.470 0.000
0.000 0.000 9.407
Sm Os
12 4
Cartesian
2.143 5.042 0.611 Sm
1.094 1.307 4.093 Sm
4.331 2.428 5.314 Sm
5.379 6.162 8.796 Sm
4.331 2.428 8.796 Sm
5.379 6.162 5.314 Sm
2.143 5.042 4.093 Sm
1.094 1.307 0.611 Sm
5.592 4.047 2.352 Sm
4.118 0.312 2.352 Sm
0.881 3.423 7.055 Sm
2.355 7.158 7.055 Sm
0.292 6.613 2.352 Os
2.944 2.878 2.352 Os
6.181 0.857 7.055 Os
3.529 4.592 7.055 Os
```

Summary:
calculated volume: 28.4 Å³/atom
E_tot: -26.0 eV/f.u.